Entry 1:
# YCo2Ir

A relaxed structure of YCo2Ir (PBE-GGA, the Alexandria database).

Cell: 3.1292 4.5113 8.8769 Å, 90.00 90.00 90.00°
Last column: nearest neighbours and their distance in Å.
Space group Imm2 (No. 44)
Inequivalent atoms, fractional coordinates:
Y 0.0000 0.0000 0.0000 (multiplicity 2)  8 Co 2.75-3.01, 4 Ir 2.92-3.00
Co 0.0000 0.0000 0.4828 (multiplicity 2)  2 Co 2.42, 2 Ir 2.64
Co 0.0000 0.5000 0.7754 (multiplicity 2)  2 Co 2.42
Ir 0.0000 0.5000 0.2222 (multiplicity 2)  6 Co 2.64-2.79, 2 Y 2.92

Crystal system = orthorhombic
Formation energy = 0.046 eV/atom
E_tot = -7.338 eV/atom
Theoretical density = 10.574 g/cm³
Energy above the lowest structure with this stoichiometry = 263 meV per atom



Entry 2:
# Y2CoIr

A relaxed structure of Y2CoIr (PBE-GGA, the Alexandria database).

Cell: 3.3318 3.6208 15.9895 Å, 90.00 90.00 90.00°
Last column: nearest neighbours and their distance in Å.
Space group Immm (No. 71)
Inequivalent atoms, fractional coordinates:
Y 0.0000 0.0000 0.1646 (multiplicity 4)  1 Ir 2.63
Co 0.0000 0.0000 0.5000 (multiplicity 2)  4 Ir 2.46
Ir 0.0000 0.0000 0.0000 (multiplicity 2)  4 Co 2.46, 2 Y 2.63

Crystal system = orthorhombic
Formation energy = 0.216 eV/atom
E_tot = -7.008 eV/atom
Theoretical density = 7.386 g/cm³



Entry 3:
# YCoIr

A relaxed structure of YCoIr (PBE-GGA, the Alexandria database).

Cell: 4.6286 5.5889 8.0893 Å, 90.00 90.00 90.00°
Last column: nearest neighbours and their distance in Å.
Space group Imma (No. 74)
Inequivalent atoms, fractional coordinates:
Y 0.0000 0.2500 0.1221 (multiplicity 4)  3 Co 2.85-2.93, 4 Ir 2.88, 2 Y 3.10
Co 0.0000 0.2500 0.7694 (multiplicity 4)  2 Co 2.34, 2 Ir 2.59
Ir 0.0000 0.0000 0.5000 (multiplicity 4)  2 Co 2.59, 2 Ir 2.79, 4 Y 2.88

Crystal system = orthorhombic
Formation energy = -0.204 eV/atom
E_tot = -7.681 eV/atom
Theoretical density = 10.794 g/cm³